(1)
VASP calculation (GGA-PBE) on a relaxed DyHo4Cd2 crystal.

Unit cell a=5.0863 b=5.0863 c=10.5466 alpha=76.05 beta=76.05 gamma=60.00
With the nearest neighbours (Å) after each atom.
Fractional positions:
Ho 0.1068 0.1068 0.6797  3 Cd 3.18, 3 Dy 3.46
Ho 0.7031 0.7031 0.8907  4 Cd 3.07-3.12
Ho 0.2969 0.2969 0.1093  4 Cd 3.07-3.12
Ho 0.8932 0.8932 0.3203  3 Cd 3.18, 3 Dy 3.46
Cd 0.6003 0.6003 0.1991  1 Dy 3.05, 7 Ho 3.07-3.18
Cd 0.3997 0.3997 0.8009  1 Dy 3.05, 7 Ho 3.07-3.18
Dy 0.5000 0.5000 0.5000  2 Cd 3.05

Calculated values
magnetic moment: 0.00 μB per formula unit
raw total energy: -3.314 eV/atom
DFT formation energy: 0.22 eV per atom

(2)
VASP calculation (GGA-PBE) on a relaxed CsTiIn3 crystal.

Unit cell a=5.5836 b=5.5836 c=5.5836 alpha=90.00 beta=90.00 gamma=90.00
With the nearest neighbours (Å) after each atom.
Fractional positions:
In 0.5000 0.0000 0.0000  2 Ti 2.79
In 0.0000 0.0000 0.5000  2 Ti 2.79
In 0.0000 0.5000 0.0000  2 Ti 2.79
Ti 0.0000 0.0000 0.0000  6 In 2.79
Cs 0.5000 0.5000 0.5000  12 In 3.95

Calculated values
magnetic moment: 1.74 μB per formula unit
raw total energy: -3.214 eV/atom
DFT formation energy: 0.18 eV per atom

(3)
VASP calculation (GGA-PBE) on a relaxed Cs2ZrPdI6 crystal.

Unit cell a=8.3423 b=8.3423 c=8.3385 alpha=59.98 beta=59.98 gamma=90.00
With the nearest neighbours (Å) after each atom.
Fractional positions:
I 0.7474 0.7474 0.5053  1 Zr 2.92, 1 Pd 2.98
I 0.7472 0.2528 0.0000  1 Zr 2.92, 1 Pd 2.98
I 0.7472 0.7472 0.0000  1 Zr 2.92, 1 Pd 2.98
I 0.2526 0.2526 0.4947  1 Zr 2.92, 1 Pd 2.98
I 0.2528 0.2528 0.0000  1 Zr 2.92, 1 Pd 2.98
I 0.2528 0.7472 0.0000  1 Zr 2.92, 1 Pd 2.98
Cs 0.7500 0.2500 0.5000  12 I 4.17
Cs 0.2500 0.7500 0.5000  12 I 4.17
Zr 0.5000 0.5000 0.0000  6 I 2.92
Pd 0.0000 0.0000 0.0000  6 I 2.98

Calculated values
magnetic moment: 0.00 μB per formula unit
raw total energy: -3.437 eV/atom

(4)
VASP calculation (GGA-PBE) on a relaxed Y2LuAl crystal.

Unit cell a=4.7061 b=4.7563 c=4.7563 alpha=90.00 beta=90.00 gamma=90.00
With the nearest neighbours (Å) after each atom.
Fractional positions:
Al 0.5000 0.0000 0.0000  8 Y 3.35, 4 Lu 3.36
Y 0.0000 0.5000 0.0000  4 Al 3.35, 4 Lu 3.35, 4 Y 3.36
Y 0.0000 0.0000 0.5000  4 Lu 3.35, 4 Al 3.35, 4 Y 3.36
Lu 0.5000 0.5000 0.5000  8 Y 3.35, 4 Al 3.36

Calculated values
magnetic moment: 0.00 μB per formula unit
raw total energy: -5.486 eV/atom
DFT formation energy: -0.19 eV per atom

(5)
VASP calculation (GGA-PBE) on a relaxed RbScC2F crystal.

Unit cell a=5.2547 b=3.8306 c=5.2547 alpha=90.00 beta=90.00 gamma=90.00
With the nearest neighbours (Å) after each atom.
Fractional positions:
Rb 0.5000 0.5000 0.5000  8 C 3.25
Sc 0.0000 0.5000 0.0000  2 F 1.92
C 0.0000 0.0000 0.5000  2 F 2.63
C 0.5000 0.0000 0.0000  2 F 2.63
F 0.0000 0.0000 0.0000  2 Sc 1.92

Calculated values
magnetic moment: 3.94 μB per formula unit
raw total energy: -4.205 eV/atom

(6)
VASP calculation (GGA-PBE) on a relaxed SiBiB3 crystal.

Unit cell a=4.6646 b=4.6646 c=4.6646 alpha=90.00 beta=90.00 gamma=90.00
With the nearest neighbours (Å) after each atom.
Fractional positions:
Si 0.5000 0.5000 0.5000  12 B 3.30
B 0.0000 0.0000 0.5000  2 Bi 2.33
B 0.0000 0.5000 0.0000  2 Bi 2.33
B 0.5000 0.0000 0.0000  2 Bi 2.33
Bi 0.0000 0.0000 0.0000  6 B 2.33

Calculated values
magnetic moment: 0.00 μB per formula unit
raw total energy: -3.165 eV/atom

> Which of these has the lowest raw total energy?

Y2LuAl

> Which of these has the lowest raw total energy?

Y2LuAl

> Which of these has the highest raw total energy?

SiBiB3

> Which of these has the highest raw total energy?

SiBiB3